Entry 1:
First-principles (meta-GGA SCAN) data for a PBEsol-optimized structure of MgFe2Te, as listed in Alexandria.

The structure in POSCAR format:
```
MgFe2Te
1.0
3.153 0.000 0.000
0.000 3.153 0.000
0.000 0.000 6.934
Mg Fe Te
1 2 1
Direct
0.000 0.000 0.435
0.500 0.500 0.205
0.000 0.000 0.039
0.500 0.500 0.822
```

Results
* formation energy without anion corrections: 16 kJ per mole of atoms
* uncorrected energy: -19.453 eV per atom
* density of states at the Fermi level: 0.670 states/eV/atom
* symmetry: P4mm
* total moment: 4.951 μB per formula unit

***

Entry 2:
First-principles (meta-GGA SCAN) data for a PBEsol-optimized structure of MgFe2Te, as listed in Alexandria.

The structure in POSCAR format:
```
MgFe2Te
1.0
-3.273 -0.446 -0.441
0.471 -3.295 -0.163
-0.709 -0.381 5.644
Mg Te Fe
1 1 2
Direct
0.500 0.500 0.000
0.500 0.500 0.500
0.000 0.000 0.275
0.000 0.000 0.725
```

Results
* formation energy without anion corrections: 32 kJ per mole of atoms
* uncorrected energy: -19.289 eV per atom
* density of states at the Fermi level: 0.798 states/eV/atom
* symmetry: P4/mmm
* total moment: 5.087 μB per formula unit

***

Entry 3:
First-principles (meta-GGA SCAN) data for a PBEsol-optimized structure of MgZrTi2Fe, as listed in Alexandria.

The structure in POSCAR format:
```
MgZrTi2Fe
1.0
4.420 0.000 0.000
0.000 4.836 0.000
0.000 0.000 4.836
Zr Ti Fe Mg
1 2 1 1
Direct
0.000 0.000 0.000
0.000 0.000 0.500
0.000 0.500 0.000
0.500 0.000 0.000
0.500 0.500 0.500
```

Results
* uncorrected energy: -16.038 eV per atom
* formation energy from the elements: 1.1343 eV per atom
* density of states at the Fermi level: 1.043 states/eV/atom
* symmetry: P4/mmm
* total moment: 0.386 μB per formula unit

***

Entry 4:
First-principles (meta-GGA SCAN) data for a PBEsol-optimized structure of MgTlFe2, as listed in Alexandria.

The structure in POSCAR format:
```
MgTlFe2
1.0
3.880 0.000 0.000
0.000 3.880 0.000
0.000 0.000 4.092
Fe Mg Tl
2 1 1
Direct
0.500 0.000 0.000
0.000 0.500 0.000
0.500 0.500 0.500
0.000 0.000 0.500
```

Results
* uncorrected energy: -28.126 eV per atom
* formation energy from the elements: 0.2722 eV per atom
* density of states at the Fermi level: 0.472 states/eV/atom
* symmetry: P4/mmm
* total moment: 5.471 μB per formula unit

***

Entry 5:
First-principles (meta-GGA SCAN) data for a PBEsol-optimized structure of MgFe2W, as listed in Alexandria.

The structure in POSCAR format:
```
MgFe2W
1.0
2.940 0.000 0.000
0.000 4.146 0.000
0.000 0.000 4.146
Fe Mg W
2 1 1
Direct
0.000 0.000 0.500
0.000 0.500 0.000
0.500 0.500 0.500
0.500 0.000 0.000
```

Results
* uncorrected energy: -27.422 eV per atom
* formation energy from the elements: 0.3078 eV per atom
* density of states at the Fermi level: 0.242 states/eV/atom
* symmetry: P4/mmm
* total moment: 0.000 μB per formula unit

***

Entry 6:
First-principles (meta-GGA SCAN) data for a PBEsol-optimized structure of MgFe2W, as listed in Alexandria.

The structure in POSCAR format:
```
MgFe2W
1.0
-2.625 -0.018 0.925
-1.340 -1.477 -3.832
2.511 -3.408 2.871
Fe W Mg
2 1 1
Direct
0.012 0.012 0.024
0.727 0.227 0.454
0.271 0.771 0.542
0.490 0.490 0.980
```

Results
* uncorrected energy: -27.424 eV per atom
* formation energy from the elements: 0.3057 eV per atom
* density of states at the Fermi level: 0.610 states/eV/atom
* symmetry: Imm2
* total moment: 3.757 μB per formula unit

***

Entry 7:
First-principles (meta-GGA SCAN) data for a PBEsol-optimized structure of MgFeW, as listed in Alexandria.

The structure in POSCAR format:
```
MgFeW
1.0
4.172 0.000 0.000
2.086 3.613 0.000
2.086 1.204 3.406
Fe W Mg
1 1 1
Direct
0.500 0.500 0.500
0.000 0.000 0.000
0.250 0.250 0.250
```

Results
* uncorrected energy: -29.204 eV per atom
* formation energy from the elements: 1.7264 eV per atom
* density of states at the Fermi level: 0.647 states/eV/atom
* symmetry: F-43m
* total moment: 1.744 μB per formula unit

***

Entry 8:
First-principles (meta-GGA SCAN) data for a PBEsol-optimized structure of Y2MgFe, as listed in Alexandria.

The structure in POSCAR format:
```
Y2MgFe
1.0
4.360 0.000 0.000
0.000 4.360 0.000
-2.180 -2.180 4.695
Y Fe Mg
2 1 1
Direct
0.000 0.000 0.000
0.750 0.250 0.500
0.500 0.500 0.000
0.250 0.750 0.500
```

Results
* uncorrected energy: -19.468 eV per atom
* formation energy from the elements: 0.2290 eV per atom
* density of states at the Fermi level: 1.086 states/eV/atom
* symmetry: I-4m2
* total moment: 1.282 μB per formula unit

***

Entry 9:
First-principles (meta-GGA SCAN) data for a PBEsol-optimized structure of Y2MgFe, as listed in Alexandria.

The structure in POSCAR format:
```
Y2MgFe
1.0
3.304 0.000 0.000
0.000 3.304 0.000
0.000 0.000 8.226
Y Mg Fe
2 1 1
Direct
0.000 0.000 0.194
0.000 0.000 0.806
0.500 0.500 0.500
0.500 0.500 0.000
```

Results
* uncorrected energy: -19.673 eV per atom
* formation energy from the elements: 0.0245 eV per atom
* density of states at the Fermi level: 0.664 states/eV/atom
* symmetry: P4/mmm
* total moment: 0.193 μB per formula unit

***

Entry 10:
First-principles (meta-GGA SCAN) data for a PBEsol-optimized structure of Mg2ZnFe, as listed in Alexandria.

The structure in POSCAR format:
```
Mg2ZnFe
1.0
-2.587 1.749 3.168
-3.251 -2.436 1.813
0.361 -1.417 4.201
Fe Mg Zn
1 2 1
Direct
0.500 0.500 0.500
0.000 0.000 0.000
0.250 0.250 0.250
0.750 0.750 0.750
```

Results
* uncorrected energy: -10.262 eV per atom
* formation energy from the elements: 0.1362 eV per atom
* density of states at the Fermi level: 0.973 states/eV/atom
* symmetry: F-43m
* total moment: 2.612 μB per formula unit

***

Entry 11:
First-principles (meta-GGA SCAN) data for a PBEsol-optimized structure of MgZn2Fe, as listed in Alexandria.

The structure in POSCAR format:
```
MgZn2Fe
1.0
-2.621 0.728 0.223
-1.084 -3.969 0.224
1.817 -0.219 4.921
Zn Mg Fe
2 1 1
Direct
0.951 0.500 0.270
0.809 0.000 0.996
0.193 0.500 0.766
0.547 0.000 0.468
```

Results
* uncorrected energy: -12.509 eV per atom
* formation energy from the elements: 0.0248 eV per atom
* density of states at the Fermi level: 0.486 states/eV/atom
* symmetry: Pm
* total moment: 2.671 μB per formula unit

***

Entry 12:
First-principles (meta-GGA SCAN) data for a PBEsol-optimized structure of Mg2ZnFe, as listed in Alexandria.

The structure in POSCAR format:
```
Mg2ZnFe
1.0
-2.043 -3.203 1.250
1.503 0.476 3.675
-2.748 3.655 -1.525
Mg Fe Zn
2 1 1
Direct
0.250 0.750 0.500
0.750 0.250 0.500
0.000 0.000 0.000
0.500 0.500 0.000
```

Results
* uncorrected energy: -10.280 eV per atom
* formation energy from the elements: 0.1180 eV per atom
* density of states at the Fermi level: 0.451 states/eV/atom
* symmetry: I4/mmm
* total moment: 2.321 μB per formula unit

***

Entry 13:
First-principles (meta-GGA SCAN) data for a PBEsol-optimized structure of MgZn2Fe, as listed in Alexandria.

The structure in POSCAR format:
```
MgZn2Fe
1.0
-1.820 -1.700 -1.595
3.419 -2.102 -1.661
-0.981 -1.015 4.943
Mg Zn Fe
1 2 1
Direct
0.000 0.500 0.000
0.228 0.228 0.456
0.772 0.772 0.544
0.500 0.000 0.000
```

Results
* uncorrected energy: -12.469 eV per atom
* formation energy from the elements: 0.0641 eV per atom
* density of states at the Fermi level: 0.469 states/eV/atom
* symmetry: Immm
* total moment: 2.323 μB per formula unit

***

Entry 14:
First-principles (meta-GGA SCAN) data for a PBEsol-optimized structure of MgZn2Fe, as listed in Alexandria.

The structure in POSCAR format:
```
MgZn2Fe
1.0
3.743 0.000 0.000
0.000 3.846 0.000
0.000 0.000 3.846
Zn Mg Fe
2 1 1
Direct
0.000 0.500 0.000
0.000 0.000 0.500
0.500 0.000 0.000
0.500 0.500 0.500
```

Results
* uncorrected energy: -12.560 eV per atom
* formation energy from the elements: -0.0265 eV per atom
* density of states at the Fermi level: 0.464 states/eV/atom
* symmetry: P4/mmm
* total moment: 2.176 μB per formula unit

***

Entry 15:
First-principles (meta-GGA SCAN) data for a PBEsol-optimized structure of MgZn2Fe, as listed in Alexandria.

The structure in POSCAR format:
```
MgZn2Fe
1.0
2.812 0.026 0.000
-0.027 2.811 0.000
0.000 0.000 7.256
Zn Mg Fe
2 1 1
Direct
0.000 0.000 0.977
0.500 0.500 0.739
0.500 0.500 0.262
0.000 0.000 0.521
```

Results
* uncorrected energy: -12.504 eV per atom
* formation energy from the elements: 0.0292 eV per atom
* density of states at the Fermi level: 0.321 states/eV/atom
* symmetry: P4mm
* total moment: 2.624 μB per formula unit

***

Entry 16:
First-principles (meta-GGA SCAN) data for a PBEsol-optimized structure of MgZnFe2, as listed in Alexandria.

The structure in POSCAR format:
```
MgZnFe2
1.0
3.778 0.000 0.000
0.000 3.778 0.000
-1.889 -1.889 3.659
Fe Mg Zn
2 1 1
Direct
0.000 0.000 0.000
0.750 0.250 0.500
0.500 0.500 0.000
0.250 0.750 0.500
```

Results
* uncorrected energy: -13.587 eV per atom
* formation energy from the elements: 0.1004 eV per atom
* density of states at the Fermi level: 0.452 states/eV/atom
* symmetry: I-4m2
* total moment: 5.175 μB per formula unit

***

Entry 17:
First-principles (meta-GGA SCAN) data for a PBEsol-optimized structure of MgZnFe2, as listed in Alexandria.

The structure in POSCAR format:
```
MgZnFe2
1.0
2.603 0.000 -0.052
0.000 3.976 0.000
-1.198 0.000 5.124
Fe Mg Zn
2 1 1
Direct
0.804 0.500 0.226
0.949 0.000 0.012
0.516 0.000 0.488
0.231 0.500 0.775
```

Results
* uncorrected energy: -13.599 eV per atom
* formation energy from the elements: 0.0881 eV per atom
* density of states at the Fermi level: 0.509 states/eV/atom
* symmetry: Pm
* total moment: 4.846 μB per formula unit

***

Entry 18:
First-principles (meta-GGA SCAN) data for a PBEsol-optimized structure of MgZnFe2, as listed in Alexandria.

The structure in POSCAR format:
```
MgZnFe2
1.0
-2.064 0.056 2.021
1.686 -1.546 1.765
2.471 5.404 2.373
Zn Fe Mg
1 2 1
Direct
0.500 0.500 0.790
0.500 0.500 0.200
0.000 0.000 0.028
0.000 0.000 0.481
```

Results
* uncorrected energy: -13.625 eV per atom
* formation energy from the elements: 0.0621 eV per atom
* density of states at the Fermi level: 0.553 states/eV/atom
* symmetry: P4mm
* total moment: 4.866 μB per formula unit

***

Entry 19:
First-principles (meta-GGA SCAN) data for a PBEsol-optimized structure of MgZrFe, as listed in Alexandria.

The structure in POSCAR format:
```
MgZrFe
1.0
-2.038 2.203 -0.896
-1.446 -2.085 -1.837
-1.475 -1.391 5.408
Fe Zr Mg
1 1 1
Direct
0.989 0.989 0.977
0.368 0.368 0.736
0.643 0.643 0.287
```

Results
* uncorrected energy: -17.862 eV per atom
* formation energy from the elements: 0.0716 eV per atom
* density of states at the Fermi level: 0.413 states/eV/atom
* symmetry: I4mm
* total moment: 0.276 μB per formula unit

***

Entry 20:
First-principles (meta-GGA SCAN) data for a PBEsol-optimized structure of MnFe2, as listed in Alexandria.

The structure in POSCAR format:
```
MnFe2
1.0
2.427 0.000 0.000
0.000 3.457 0.000
-1.214 -1.729 3.673
Mn Fe
1 2
Direct
0.500 0.500 0.000
0.834 0.834 0.668
0.166 0.166 0.332
```

Results
* uncorrected energy: -18.061 eV per atom
* formation energy from the elements: 0.1102 eV per atom
* density of states at the Fermi level: 0.883 states/eV/atom
* symmetry: Immm
* total moment: 2.104 μB per formula unit